[1]
## SrPbCl (PBE)

Data for an optimized crystal structure of SrPbCl.

The density of states at the Fermi level is 2.4 states/eV per cell. For the energy relative to the lowest polymorph listed for this composition, the calculation gives 0.223 eV/atom. As for the raw formation energy: -1.060 eV/atom. As for the total moment: 0.0 Bohr magnetons per cell. Its density is 5.076 g/cm3.

Cell and atoms, written as POSCAR:
```
SrPbCl
1.0
8.4079 0.0538 -0.0560
7.5819 3.6355 -0.0535
0.8263 0.1883 3.5766
Cl Sr Pb
1 1 1
Cartesian
1.5861 0.3640 3.3922
10.5093 2.4240 1.2229
5.5469 1.2779 2.4287
```


[2]
## SrPb2Cl (PBE)

Data for an optimized crystal structure of SrPb2Cl.

The density of states at the Fermi level is 3.1 states/eV per cell. For the energy relative to the lowest polymorph listed for this composition, the calculation gives 0.472 eV/atom. As for the raw formation energy: -0.412 eV/atom. As for the total moment: 0.0 Bohr magnetons per cell. Its density is 7.061 g/cm3.

Cell and atoms, written as POSCAR:
```
SrPb2Cl
1.0
5.6646 0.0000 0.0000
0.0000 5.6646 0.0000
0.0000 0.0000 3.9394
Pb Sr Cl
2 1 1
Cartesian
2.8323 2.8323 0.0000
0.0000 0.0000 0.0000
2.8323 0.0000 1.9697
0.0000 2.8323 1.9697
```


[3]
## SrPb2Cl (PBE)

Data for an optimized crystal structure of SrPb2Cl.

The density of states at the Fermi level is 0.6 states/eV per cell. For the energy relative to the lowest polymorph listed for this composition, the calculation gives 0.279 eV/atom. As for the raw formation energy: -0.604 eV/atom. As for the total moment: 0.0 Bohr magnetons per cell. Its density is 5.819 g/cm3.

Cell and atoms, written as POSCAR:
```
SrPb2Cl
1.0
5.1480 0.0000 0.0000
0.0000 5.1480 0.0000
0.0000 0.0000 5.7875
Pb Sr Cl
2 1 1
Cartesian
0.0000 0.0000 0.0756
0.0000 0.0000 2.8181
2.5740 2.5740 1.4469
2.5740 2.5740 4.3406
```


[4]
## Sr2PbCl (PBE)

Data for an optimized crystal structure of Sr2PbCl.

The density of states at the Fermi level is 1.0 states/eV per cell. For the energy relative to the lowest polymorph listed for this composition, the calculation gives 0.152 eV/atom. As for the raw formation energy: -1.066 eV/atom. As for the total moment: 0.0 Bohr magnetons per cell. Its density is 5.236 g/cm3.

Cell and atoms, written as POSCAR:
```
Sr2PbCl
1.0
3.9377 0.0000 0.0000
0.0000 3.9377 0.0000
0.0000 0.0000 8.5478
Sr Cl Pb
2 1 1
Cartesian
0.0000 0.0000 6.3477
0.0000 0.0000 2.2001
1.9689 1.9689 0.0000
1.9689 1.9689 4.2739
```


[5]
## SrPb2Cl (PBE)

Data for an optimized crystal structure of SrPb2Cl.

The density of states at the Fermi level is 1.7 states/eV per cell. For the energy relative to the lowest polymorph listed for this composition, the calculation gives 0.178 eV/atom. As for the raw formation energy: -0.706 eV/atom. As for the total moment: 0.0 Bohr magnetons per cell. Its density is 7.341 g/cm3.

Cell and atoms, written as POSCAR:
```
SrPb2Cl
1.0
-0.4729 -2.7045 4.8356
-3.1062 -4.6012 0.3201
2.4326 -4.9562 0.6632
Pb Sr Cl
2 1 1
Cartesian
-0.2866 -3.0655 1.4547
0.0000 0.0000 0.0000
-0.8598 -9.1964 4.3642
-0.5732 -6.1310 2.9094
```


[6]
## SrPb2Cl (PBE)

Data for an optimized crystal structure of SrPb2Cl.

The density of states at the Fermi level is 4.2 states/eV per cell. For the energy relative to the lowest polymorph listed for this composition, the calculation gives 0.658 eV/atom. As for the raw formation energy: -0.226 eV/atom. As for the total moment: 0.0 Bohr magnetons per cell. Its density is 6.757 g/cm3.

Cell and atoms, written as POSCAR:
```
SrPb2Cl
1.0
10.7526 0.0272 0.0161
10.0693 3.7721 0.0161
10.0693 1.8373 3.2944
Pb Sr Cl
2 1 1
Cartesian
15.1287 2.7605 1.6292
0.3169 0.0578 0.0341
7.7228 1.4092 0.8316
23.1684 4.2275 2.4949
```


[7]
## SrPbCl (PBE)

Data for an optimized crystal structure of SrPbCl.

The density of states at the Fermi level is 3.5 states/eV per cell. For the energy relative to the lowest polymorph listed for this composition, the calculation gives 0.000 eV/atom. As for the raw formation energy: -1.283 eV/atom. As for the total moment: 0.0 Bohr magnetons per cell. Its density is 5.559 g/cm3.

Cell and atoms, written as POSCAR:
```
SrPbCl
1.0
4.6021 0.0000 0.0000
0.0000 4.6021 0.0000
0.0000 0.0000 9.3156
Cl Sr Pb
2 2 2
Cartesian
2.3010 2.3010 0.0000
0.0000 0.0000 0.0000
2.3010 0.0000 1.7989
0.0000 2.3010 7.5167
0.0000 2.3010 4.0012
2.3010 0.0000 5.3144
```


[8]
## Sr2PbCl (PBE)

Data for an optimized crystal structure of Sr2PbCl.

The density of states at the Fermi level is 2.8 states/eV per cell. For the energy relative to the lowest polymorph listed for this composition, the calculation gives 0.000 eV/atom. As for the raw formation energy: -1.218 eV/atom. As for the total moment: 0.0 Bohr magnetons per cell. Its density is 4.935 g/cm3.

Cell and atoms, written as POSCAR:
```
Sr2PbCl
1.0
5.9112 0.0000 0.0000
0.0000 4.0245 -0.0030
0.0000 0.0050 5.9113
Pb Sr Cl
1 2 1
Cartesian
2.9556 3.0228 5.1701
0.0000 1.0107 5.1708
2.9556 1.0126 2.2165
0.0000 1.0031 2.2163
```